1.
18
Lattice="-0.333 -5.356 -1.606 2.674 1.261 -4.757 5.457 0.641 6.499" Properties=species:S:1:pos:R:3 comment="Ge2H2Pd5 PBE relaxed" dos_at_fermi_per_ev_cell=5.851 spacegroup="C2/c (15)" rho_g_cm3=9.53 crystal_system=monoclinic e_tot_ev_per_atom=-4.929 pbc="T T T"
Pd 2.246 -1.307 -0.985
Ge 5.224 -4.668 4.715
Pd 1.869 -3.943 -1.894
Ge 3.408 -0.748 1.453
Pd 4.767 0.241 -0.817
Pd 5.751 -2.053 0.766
Pd 4.415 -2.681 3.145
H 4.976 -3.732 1.539
Pd 3.231 -3.601 0.598
H 1.515 -2.996 -0.201
Pd 3.582 -0.680 -3.365
Pd 6.128 0.583 1.675
H 6.483 -0.365 -0.019
Pd 4.792 -0.050 4.053
Ge 4.589 -2.612 -1.673
Pd 3.206 -3.311 -4.272
H 3.022 0.372 -1.759
Ge 6.727 -1.360 3.140



2.
3
Lattice="3.653 0.000 0.000 0.000 3.653 0.000 -1.826 -1.826 3.080" Properties=species:S:1:pos:R:3 comment="GeHPd PBE relaxed" dos_at_fermi_per_ev_cell=0.834 polymorph_energy_mev_per_atom=208.4 spacegroup="I4mm (107)" rho_g_cm3=7.28 crystal_system=tetragonal e_tot_ev_per_atom=-4.258 pbc="T T T"
Ge 0.000 0.000 1.471
H 1.826 1.826 2.729
Pd 1.826 1.826 1.037



3.
19
Lattice="5.813 0.000 0.000 -2.907 6.300 -0.097 0.000 -2.493 6.510" Properties=species:S:1:pos:R:3 comment="Ge2H5Pd12 PBE relaxed" dos_at_fermi_per_ev_cell=8.440 spacegroup="C2/m (12)" rho_g_cm3=10.00 crystal_system=monoclinic e_tot_ev_per_atom=-4.772 pbc="T T T"
Pd -1.451 3.454 3.478
Pd 2.907 -0.977 5.061
Pd 1.435 1.553 5.412
Pd 4.358 0.354 2.934
Ge 4.361 0.000 0.000
Pd 0.000 -0.952 5.094
Pd 4.341 2.255 1.000
Pd -1.435 1.553 5.412
Pd 2.907 4.759 1.318
H 0.000 3.203 0.312
H 0.000 -1.246 3.255
Pd 1.455 0.354 2.934
H 2.907 0.605 6.100
H 0.000 2.448 3.682
Pd 0.000 4.784 1.351
Ge 1.453 0.000 0.000
Pd 1.451 3.454 3.478
H 2.907 1.360 2.730
Pd 1.472 2.255 1.000



4.
8
Lattice="-4.231 0.520 -1.642 -1.680 -2.209 3.629 -3.319 2.939 3.128" Properties=species:S:1:pos:R:3 comment="GeH2Pd PBE relaxed" dos_at_fermi_per_ev_cell=1.199 polymorph_energy_mev_per_atom=0.0 spacegroup="I-42d (122)" rho_g_cm3=6.61 crystal_system=tetragonal e_tot_ev_per_atom=-3.912 pbc="T T T"
Ge -2.956 -0.844 0.993
H -4.569 1.751 2.795
Pd -5.253 1.307 1.239
H -2.064 -0.623 2.979
Pd 0.000 0.000 0.000
H -7.799 0.547 4.380
H -4.029 0.826 0.075
Ge -3.977 -0.057 3.875